La2Nd3Ag4: optimized geometry, PBE.

Output
Calculated formation energy in eV per atom: -0.127
Calculated volume in Å³/atom: 29.26
DOS at the Fermi energy in states/eV per atom: 1.11
Space-group type: No. 64

Unit cell a=7.085 b=7.923 c=10.031 alpha=90.00 beta=110.68 gamma=90.00
Atoms (fractional coordinates):
Nd 0.007 0.750 0.514
Nd 0.000 0.000 0.000
Nd 0.493 0.250 0.486
Nd 0.993 0.250 0.486
Nd 0.500 0.500 0.000
Nd 0.507 0.750 0.514
Ag 0.675 0.750 0.849
Ag 0.839 0.014 0.678
Ag 0.825 0.250 0.151
Ag 0.175 0.750 0.849
Ag 0.161 0.986 0.322
Ag 0.339 0.486 0.678
Ag 0.325 0.250 0.151
Ag 0.661 0.514 0.322
La 0.096 0.577 0.192
La 0.904 0.423 0.808
La 0.596 0.923 0.192
La 0.404 0.077 0.808